An optimized crystal structure of NaErCoF6. Source: Alexandria, functional PBE+U.

Results
As for the density of states at the Fermi level: 0.000 states/eV/f.u. The calculation puts the total energy at -50.45 eV per formula unit. For the total magnetic moment, the calculation gives 6.000 μB per cell. Its symmetry is P-31c, No. 163.

Cell lengths 5.624, 5.624, 9.650 Å; angles 90.00, 90.00, 120.00 degrees
Sites, in units of the cell vectors:
Na 0.000 0.000 0.000
Na 0.000 0.000 0.500
Er 0.333 0.667 0.250
Er 0.667 0.333 0.750
Co 0.333 0.667 0.750
Co 0.667 0.333 0.250
F 0.014 0.361 0.637
F 0.014 0.653 0.863
F 0.347 0.361 0.863
F 0.347 0.986 0.637
F 0.361 0.014 0.137
F 0.361 0.347 0.363
F 0.639 0.653 0.637
F 0.639 0.986 0.863
F 0.653 0.014 0.363
F 0.653 0.639 0.137
F 0.986 0.347 0.137
F 0.986 0.639 0.363